(1)
Material: AcTmGaNi
Method: DFT, PBE
State: optimized geometry

Computed properties:
Space-group type: F-43m
Raw total energy: -4.627 eV/atom
Formation enthalpy at 0 K: -280.1 meV per atom

Cell and atoms, written as POSCAR:
```
AcTmGaNi
1.0
0.000 3.645 3.645
3.645 0.000 3.645
3.645 3.645 0.000
Ac Tm Ga Ni
1 1 1 1
direct
0.000 0.000 0.000 Ac
0.500 0.500 0.500 Tm
0.750 0.750 0.750 Ga
0.250 0.250 0.250 Ni
```

---

(2)
Material: Ac2TmGa12Ni3
Method: DFT, PBE
State: optimized geometry

Computed properties:
Space-group type: R-3m
Raw total energy: -3.794 eV/atom
Formation enthalpy at 0 K: -107.5 meV per atom

Cell and atoms, written as POSCAR:
```
Ac2TmGa12Ni3
1.0
4.286 2.475 6.514
-4.286 2.475 6.514
0.000 -4.949 6.514
Ac Tm Ga Ni
2 1 12 3
direct
0.088 0.088 0.088 Ac
0.912 0.912 0.912 Ac
0.500 0.500 0.500 Tm
0.043 0.655 0.655 Ga
0.222 0.222 0.604 Ga
0.222 0.604 0.222 Ga
0.345 0.345 0.957 Ga
0.345 0.957 0.345 Ga
0.396 0.778 0.778 Ga
0.604 0.222 0.222 Ga
0.655 0.043 0.655 Ga
0.655 0.655 0.043 Ga
0.778 0.396 0.778 Ga
0.778 0.778 0.396 Ga
0.957 0.345 0.345 Ga
0.000 0.500 0.500 Ni
0.500 0.000 0.500 Ni
0.500 0.500 0.000 Ni
```

---

(3)
Material: AcYGaNi
Method: DFT, PBE
State: optimized geometry

Computed properties:
Space-group type: F-43m
Raw total energy: -5.128 eV/atom
Formation enthalpy at 0 K: -282.5 meV per atom

Cell and atoms, written as POSCAR:
```
AcYGaNi
1.0
0.000 3.672 3.672
3.672 0.000 3.672
3.672 3.672 0.000
Ac Y Ga Ni
1 1 1 1
direct
0.000 0.000 0.000 Ac
0.500 0.500 0.500 Y
0.250 0.250 0.250 Ga
0.750 0.750 0.750 Ni
```

---

(4)
Material: AcYGa2Ni2
Method: DFT, PBE
State: optimized geometry

Computed properties:
Space-group type: P-3m1
Raw total energy: -5.241 eV/atom
Formation enthalpy at 0 K: -542.4 meV per atom

Cell and atoms, written as POSCAR:
```
AcYGa2Ni2
1.0
4.381 0.000 0.000
-2.190 3.794 0.000
0.000 0.000 7.538
Ac Y Ga Ni
1 1 2 2
direct
0.000 0.000 0.000 Ac
0.000 0.000 0.500 Y
0.333 0.667 0.291 Ga
0.667 0.333 0.709 Ga
0.333 0.667 0.710 Ni
0.667 0.333 0.290 Ni
```

---

(5)
Material: AcZnGa2Ni
Method: DFT, PBE
State: optimized geometry

Computed properties:
Space-group type: I-4m2
Raw total energy: -3.882 eV/atom
Formation enthalpy at 0 K: -438.6 meV per atom

Cell and atoms, written as POSCAR:
```
AcZnGa2Ni
1.0
-2.217 2.217 5.094
2.217 -2.217 5.094
2.217 2.217 -5.094
Ac Zn Ga Ni
1 1 2 1
direct
0.000 0.000 0.000 Ac
0.750 0.250 0.500 Zn
0.369 0.369 0.000 Ga
0.631 0.631 0.000 Ga
0.250 0.750 0.500 Ni
```

---

(6)
Material: AcZn2Ga4Ni
Method: DFT, PBE
State: optimized geometry

Computed properties:
Space-group type: R-3m
Raw total energy: -3.335 eV/atom
Formation enthalpy at 0 K: -266.8 meV per atom

Cell and atoms, written as POSCAR:
```
AcZn2Ga4Ni
1.0
2.178 1.257 9.198
-2.178 1.257 9.198
0.000 -2.514 9.198
Ac Zn Ga Ni
1 2 4 1
direct
0.000 0.000 0.000 Ac
0.244 0.244 0.244 Zn
0.756 0.756 0.756 Zn
0.137 0.137 0.137 Ga
0.409 0.409 0.409 Ga
0.591 0.591 0.591 Ga
0.863 0.863 0.863 Ga
0.500 0.500 0.500 Ni
```

---

Values for M_tot, μB/f.u., ordered as above
0.00, 0.00, 0.00, 0.00, 0.00, 0.00
Values for calculated volume, Å³/cell, ordered as above
96.82, 414.48, 99.06, 125.29, 100.12, 151.09